1.
{
  "formula": "PaZnTc",
  "functional": "GGA-PBE",
  "state": "relaxed",
  "lattice_angstrom": [[-1.525, 3.111, 1.237], [-2.572, -0.219, -2.621], [-5.240, -4.774, 5.542]],
  "species": ["Tc", "Tc", "Pa", "Pa", "Zn", "Zn"],
  "fractional_positions": [[0.000, 0.500, 0.644], [0.500, 0.000, 0.356], [0.500, 0.000, 0.711], [0.000, 0.500, 0.289], [0.000, 0.500, 0.936], [0.500, 0.000, 0.064]],
  "magmom_total_mub_per_fu": 0.0,
  "ef_ev_per_atom": -0.025,
  "e_above_lowest_polymorph_mev_per_atom": 230,
  "energy_ev_per_atom": -7.070,
  "space_group": "P4/nmm (129)"
}

=====

2.
{
  "formula": "Pa2Zn3Tc",
  "functional": "GGA-PBE",
  "state": "relaxed",
  "lattice_angstrom": [[4.590, -0.143, -2.386], [-2.930, 4.260, -0.229], [-0.012, 0.298, 5.538]],
  "species": ["Pa", "Pa", "Zn", "Zn", "Zn", "Tc"],
  "fractional_positions": [[0.721, 0.360, 0.081], [0.279, 0.640, 0.919], [0.500, 0.500, 0.500], [0.000, 0.000, 0.500], [0.500, 0.000, 0.500], [0.000, 0.000, 0.000]],
  "magmom_total_mub_per_fu": 0.0,
  "ef_ev_per_atom": -0.186,
  "energy_ev_per_atom": -5.716,
  "space_group": "C2/m (12)"
}

=====

3.
{
  "formula": "Pa12ZnTc6",
  "functional": "GGA-PBE",
  "state": "relaxed",
  "lattice_angstrom": [[7.856, 0.098, 0.117], [-1.095, 7.780, 0.117], [-1.095, -1.275, 7.676]],
  "species": ["Pa", "Pa", "Pa", "Pa", "Pa", "Pa", "Pa", "Pa", "Pa", "Pa", "Pa", "Pa", "Zn", "Tc", "Tc", "Tc", "Tc", "Tc", "Tc"],
  "fractional_positions": [[0.812, 0.600, 0.453], [0.453, 0.812, 0.600], [0.600, 0.453, 0.812], [0.188, 0.400, 0.547], [0.547, 0.188, 0.400], [0.400, 0.547, 0.188], [0.073, 0.965, 0.352], [0.035, 0.648, 0.927], [0.648, 0.927, 0.035], [0.927, 0.035, 0.648], [0.965, 0.352, 0.073], [0.352, 0.073, 0.965], [0.000, 0.000, 0.000], [0.666, 0.865, 0.361], [0.639, 0.334, 0.135], [0.135, 0.639, 0.334], [0.334, 0.135, 0.639], [0.361, 0.666, 0.865], [0.865, 0.361, 0.666]],
  "magmom_total_mub_per_fu": 0.0,
  "ef_ev_per_atom": 0.192,
  "energy_ev_per_atom": -9.145,
  "space_group": "R-3 (148)"
}

=====

4.
{
  "formula": "Pa2ZnTc",
  "functional": "GGA-PBE",
  "state": "relaxed",
  "lattice_angstrom": [[-2.614, 1.732, 2.644], [-3.009, 0.382, -3.225], [-1.608, -3.994, 1.027]],
  "species": ["Zn", "Pa", "Pa", "Tc"],
  "fractional_positions": [[0.500, 0.500, 0.500], [0.000, 0.000, 0.500], [0.000, 0.500, 0.000], [0.500, 0.000, 0.000]],
  "magmom_total_mub_per_fu": 0.0,
  "ef_ev_per_atom": -0.075,
  "e_above_lowest_polymorph_mev_per_atom": 18,
  "energy_ev_per_atom": -7.733,
  "space_group": "P4/mmm (123)"
}

=====

5.
{
  "formula": "PaZnTc",
  "functional": "GGA-PBE",
  "state": "relaxed",
  "lattice_angstrom": [[3.457, 0.001, 0.003], [1.727, 4.753, 0.485], [-0.005, 3.114, 7.310]],
  "species": ["Pa", "Pa", "Zn", "Zn", "Tc", "Tc"],
  "fractional_positions": [[0.221, 0.849, 0.477], [0.374, 0.544, 0.119], [0.959, 0.373, 0.835], [0.636, 0.020, 0.761], [0.631, 0.029, 0.124], [0.964, 0.365, 0.471]],
  "magmom_total_mub_per_fu": 0.0,
  "ef_ev_per_atom": -0.256,
  "e_above_lowest_polymorph_mev_per_atom": 0,
  "energy_ev_per_atom": -7.301,
  "space_group": "C2/m (12)"
}

=====

6.
{
  "formula": "PaZn2Tc",
  "functional": "GGA-PBE",
  "state": "relaxed",
  "lattice_angstrom": [[-4.449, -0.349, 1.321], [-2.569, -3.615, -1.411], [-1.273, -3.280, 3.046]],
  "species": ["Zn", "Zn", "Pa", "Tc"],
  "fractional_positions": [[0.750, 0.750, 0.750], [0.250, 0.250, 0.250], [0.500, 0.500, 0.500], [0.000, 0.000, 0.000]],
  "magmom_total_mub_per_fu": 0.0,
  "ef_ev_per_atom": 0.143,
  "e_above_lowest_polymorph_mev_per_atom": 397,
  "energy_ev_per_atom": -5.460,
  "space_group": "Fm-3m (225)"
}

=====

7.
{
  "formula": "Pa2ZnTc",
  "functional": "GGA-PBE",
  "state": "relaxed",
  "lattice_angstrom": [[4.906, 0.000, 0.000], [2.453, 4.249, 0.000], [2.453, 1.416, 4.006]],
  "species": ["Zn", "Pa", "Pa", "Tc"],
  "fractional_positions": [[0.500, 0.500, 0.500], [0.250, 0.250, 0.250], [0.750, 0.750, 0.750], [0.000, 0.000, 0.000]],
  "magmom_total_mub_per_fu": 0.0,
  "ef_ev_per_atom": -0.006,
  "e_above_lowest_polymorph_mev_per_atom": 88,
  "energy_ev_per_atom": -7.664,
  "space_group": "Fm-3m (225)"
}

=====

8.
{
  "formula": "PaZnTc",
  "functional": "GGA-PBE",
  "state": "relaxed",
  "lattice_angstrom": [[-2.069, 2.213, 0.630], [-3.236, -2.412, -2.157], [0.707, -0.613, 4.479]],
  "species": ["Zn", "Pa", "Tc"],
  "fractional_positions": [[0.450, 0.667, 0.333], [0.952, 0.000, 0.000], [0.598, 0.333, 0.667]],
  "magmom_total_mub_per_fu": 0.0,
  "ef_ev_per_atom": 0.047,
  "e_above_lowest_polymorph_mev_per_atom": 303,
  "energy_ev_per_atom": -6.998,
  "space_group": "P3m1 (156)"
}

=====

9.
{
  "formula": "PaZn17Tc",
  "functional": "GGA-PBE",
  "state": "relaxed",
  "lattice_angstrom": [[6.770, -0.064, 0.727], [0.646, 6.740, 0.727], [-0.071, -0.064, 6.809]],
  "species": ["Pa", "Zn", "Zn", "Zn", "Zn", "Zn", "Zn", "Zn", "Zn", "Zn", "Zn", "Zn", "Zn", "Zn", "Zn", "Zn", "Zn", "Zn", "Tc"],
  "fractional_positions": [[0.636, 0.636, 0.636], [0.326, 0.042, 0.620], [0.620, 0.326, 0.042], [0.042, 0.620, 0.326], [0.326, 0.620, 0.042], [0.042, 0.326, 0.620], [0.620, 0.042, 0.326], [0.328, 0.835, 0.328], [0.328, 0.328, 0.835], [0.835, 0.328, 0.328], [0.679, 0.167, 0.679], [0.679, 0.679, 0.167], [0.167, 0.679, 0.679], [0.970, 0.484, 0.970], [0.970, 0.970, 0.484], [0.484, 0.970, 0.970], [0.888, 0.888, 0.888], [0.109, 0.109, 0.109], [0.452, 0.452, 0.452]],
  "magmom_total_mub_per_fu": 0.0,
  "ef_ev_per_atom": -0.014,
  "energy_ev_per_atom": -2.199,
  "space_group": "R3m (160)"
}

=====

10.
{
  "formula": "Pa3Zn2Tc4",
  "functional": "GGA-PBE",
  "state": "relaxed",
  "lattice_angstrom": [[-3.949, 1.708, -1.433], [-0.123, -2.904, 4.055], [1.253, 7.183, 5.111]],
  "species": ["Pa", "Pa", "Pa", "Zn", "Zn", "Tc", "Tc", "Tc", "Tc"],
  "fractional_positions": [[0.369, 0.737, 0.598], [0.000, 0.000, 0.000], [0.631, 0.263, 0.402], [0.326, 0.651, 0.220], [0.674, 0.349, 0.780], [0.744, 0.488, 0.082], [0.099, 0.198, 0.641], [0.901, 0.802, 0.359], [0.256, 0.512, 0.918]],
  "magmom_total_mub_per_fu": 0.0,
  "ef_ev_per_atom": -0.191,
  "energy_ev_per_atom": -8.247,
  "space_group": "C2/m (12)"
}

=====

11.
{
  "formula": "PaZnTc",
  "functional": "GGA-PBE",
  "state": "relaxed",
  "lattice_angstrom": [[-1.751, -2.362, 1.369], [1.611, 0.419, 2.783], [-3.650, 4.656, -0.477]],
  "species": ["Zn", "Pa", "Tc"],
  "fractional_positions": [[0.027, 0.027, 0.055], [0.312, 0.312, 0.623], [0.661, 0.661, 0.322]],
  "magmom_total_mub_per_fu": 0.0,
  "ef_ev_per_atom": -0.034,
  "e_above_lowest_polymorph_mev_per_atom": 221,
  "energy_ev_per_atom": -7.080,
  "space_group": "I4mm (107)"
}

=====

12.
{
  "formula": "Pa3ZnTc2",
  "functional": "GGA-PBE",
  "state": "relaxed",
  "lattice_angstrom": [[-2.507, 1.918, 0.925], [-1.908, -2.657, 0.340], [3.343, -0.981, 11.089]],
  "species": ["Pa", "Pa", "Pa", "Zn", "Tc", "Tc"],
  "fractional_positions": [[0.000, 0.000, 0.000], [0.000, 0.000, 0.689], [0.000, 0.000, 0.311], [0.500, 0.500, 0.500], [0.500, 0.500, 0.844], [0.500, 0.500, 0.156]],
  "magmom_total_mub_per_fu": 0.0,
  "ef_ev_per_atom": -0.103,
  "energy_ev_per_atom": -8.518,
  "space_group": "P4/mmm (123)"
}